(1)
Crystalline Zr2CdPd7 at its relaxed geometry, computed with GGA-PBE.

Computed properties:
* energy of formation from the pure elements: -32 meV per atom

Cell lengths 7.895, 7.895, 4.205 Å; angles 90.00, 90.00, 125.99 degrees
Sites, in units of the cell vectors:
Zr 0.196 0.804 0.000
Zr 0.804 0.196 0.000
Cd 0.500 0.500 0.500
Pd 0.000 0.000 0.000
Pd 0.208 0.418 0.000
Pd 0.305 0.695 0.500
Pd 0.418 0.208 0.000
Pd 0.582 0.792 0.000
Pd 0.695 0.305 0.500
Pd 0.792 0.582 0.000

***

(2)
Crystalline RbBe2FeCo at its relaxed geometry, computed with GGA-PBE.

Computed properties:
* energy relative to the lowest polymorph listed for this composition: 0 meV per atom
* energy of formation from the pure elements: 1076 meV per atom

Cell lengths 4.496, 4.496, 4.502 Å; angles 90.00, 90.00, 90.00 degrees
Sites, in units of the cell vectors:
Rb 0.000 0.000 0.000
Be 0.000 0.500 0.500
Be 0.500 0.000 0.500
Fe 0.500 0.500 0.500
Co 0.500 0.500 0.000

***

(3)
Crystalline LaNi2Ir at its relaxed geometry, computed with GGA-PBE.

Computed properties:
* energy of formation from the pure elements: 77 meV per atom

Cell lengths 4.570, 4.570, 4.570 Å; angles 60.00, 60.00, 60.00 degrees
Sites, in units of the cell vectors:
La 0.000 0.000 0.000
Ni 0.250 0.250 0.250
Ni 0.500 0.500 0.500
Ir 0.750 0.750 0.750

***

(4)
Crystalline Re3Ir4Rh12 at its relaxed geometry, computed with GGA-PBE.

Computed properties:
* energy of formation from the pure elements: 782 meV per atom

Cell lengths 7.998, 7.998, 7.998 Å; angles 109.47, 109.47, 109.47 degrees
Sites, in units of the cell vectors:
Re 0.000 0.500 0.500
Re 0.500 0.000 0.500
Re 0.500 0.500 0.000
Ir 0.000 0.000 0.500
Ir 0.000 0.500 0.000
Ir 0.500 0.000 0.000
Ir 0.500 0.500 0.500
Rh 0.098 0.738 0.360
Rh 0.262 0.360 0.622
Rh 0.262 0.640 0.902
Rh 0.360 0.098 0.738
Rh 0.360 0.622 0.262
Rh 0.378 0.738 0.640
Rh 0.622 0.262 0.360
Rh 0.640 0.378 0.738
Rh 0.640 0.902 0.262
Rh 0.738 0.360 0.098
Rh 0.738 0.640 0.378
Rh 0.902 0.262 0.640

***

(5)
Crystalline TlSbSe2 at its relaxed geometry, computed with GGA-PBE.

Computed properties:
* formation energy from raw total energies: -0.35 eV/atom

Cell lengths 8.243, 8.243, 8.243 Å; angles 29.31, 29.31, 29.31 degrees
Sites, in units of the cell vectors:
Tl 0.000 0.000 0.000
Sb 0.827 0.827 0.827
Se 0.228 0.228 0.228
Se 0.422 0.422 0.422

***

(6)
Crystalline TcBi2H at its relaxed geometry, computed with GGA-PBE.

Computed properties:
* energy relative to the lowest polymorph listed for this composition: 28 meV per atom

Cell lengths 4.797, 4.797, 4.797 Å; angles 60.00, 60.00, 60.00 degrees
Sites, in units of the cell vectors:
Tc 0.000 0.000 0.000
Bi 0.250 0.250 0.250
Bi 0.750 0.750 0.750
H 0.500 0.500 0.500

***

(7)
Crystalline Mg4MnAu5 at its relaxed geometry, computed with GGA-PBE.

Computed properties:
* energy of formation from the pure elements: -489 meV per atom

Cell lengths 3.317, 3.317, 16.134 Å; angles 90.00, 90.00, 90.00 degrees
Sites, in units of the cell vectors:
Mg 0.000 0.000 0.101
Mg 0.000 0.000 0.305
Mg 0.000 0.000 0.695
Mg 0.000 0.000 0.899
Mn 0.000 0.000 0.500
Au 0.500 0.500 0.000
Au 0.500 0.500 0.203
Au 0.500 0.500 0.405
Au 0.500 0.500 0.595
Au 0.500 0.500 0.797

***

(8)
Crystalline Ga2Te2Cl at its relaxed geometry, computed with GGA-PBE.

Computed properties:
* energy relative to the lowest polymorph listed for this composition: 162 meV per atom
* formation energy from raw total energies: -0.15 eV/atom

Cell lengths 8.043, 8.043, 3.738 Å; angles 90.00, 90.00, 90.00 degrees
Sites, in units of the cell vectors:
Ga 0.162 0.338 0.000
Ga 0.338 0.838 0.000
Ga 0.662 0.162 0.000
Ga 0.838 0.662 0.000
Te 0.147 0.647 0.500
Te 0.353 0.147 0.500
Te 0.647 0.853 0.500
Te 0.853 0.353 0.500
Cl 0.000 0.000 0.000
Cl 0.500 0.500 0.000